Density functional theory data (PBE) for a relaxed structure of CaEu2Pd.

a b c (Å): 11.244 11.244 11.244
angles (deg): 20.49 20.49 20.49
Element x y z (fractional)
Ca  0.000  0.000  0.000
Eu  0.112  0.112  0.112
Eu  0.888  0.888  0.888
Pd  0.500  0.500  0.500

Calculated values
The formation energy from the elements is -198 meV per atom. The density is 4.91 g/cm³. Its total moment is 14.509 Bohr magnetons per cell.

Density functional theory data (PBE) for a relaxed structure of CaEuPd2.

a b c (Å): 7.274 7.274 7.274
angles (deg): 33.53 33.53 33.53
Element x y z (fractional)
Ca  0.000  0.000  0.000
Eu  0.500  0.500  0.500
Pd  0.252  0.252  0.252
Pd  0.748  0.748  0.748

Calculated values
The formation energy from the elements is -491 meV per atom. The density is 6.43 g/cm³. Its total moment is 6.875 Bohr magnetons per cell.

Density functional theory data (PBE) for a relaxed structure of CaEuPd4.

a b c (Å): 5.506 5.506 5.506
angles (deg): 60.00 60.00 60.00
Element x y z (fractional)
Ca  0.000  0.000  0.000
Eu  0.750  0.750  0.750
Pd  0.375  0.375  0.375
Pd  0.375  0.375  0.875
Pd  0.375  0.875  0.375
Pd  0.875  0.375  0.375

Calculated values
The formation energy from the elements is -688 meV per atom. The density is 8.69 g/cm³. Its total moment is 7.137 Bohr magnetons per cell.

Density functional theory data (PBE) for a relaxed structure of CaEuPd.

a b c (Å): 7.144 7.144 7.144
angles (deg): 150.46 150.46 42.26
Element x y z (fractional)
Ca  0.000  0.000  0.000
Eu  0.259  0.259  0.000
Pd  0.625  0.625  0.000

Calculated values
The formation energy from the elements is -466 meV per atom. The density is 5.61 g/cm³. Its total moment is 7.278 Bohr magnetons per cell.

Question: Which of these has the lowest total moment?
Answer: CaEuPd2

Question: The lowest total moment belongs to which entry?
Answer: CaEuPd2

Question: Look up the formation energy from the elements of the third one.
Answer: -688 meV per atom

Question: Number 4 is which compound?
Answer: CaEuPd